First-principles (PBE-GGA) data for an optimized crystal structure of Sn2Pd2Pt3, as listed in Alexandria via LeMat-Bulk.

E   -0.3936 Ry per atom
E_form   -140 meV per atom
Fermi-level density of states   12.02 states/eV per cell
Crystal system   monoclinic
Distance to the lowest polymorph of the same formula   268.1 meV per atom
Total magnetic moment   0.0 μB/cell

abc: 11.8369 4.3802 5.4968
angles: 90.00 102.18 90.00
Space group C2/m (No. 12)
Symmetry-distinct sites (fractional):
Sn 0.0704 0.0000 0.3079 (multiplicity 4)
Pd 0.2073 0.5000 0.8549 (multiplicity 4)
Pt 0.0000 0.5000 0.0000 (multiplicity 2)
Pt 0.2105 0.5000 0.3496 (multiplicity 4)

First-principles (PBE-GGA) data for an optimized crystal structure of Ga2TcHIr, as listed in Alexandria via LeMat-Bulk.

E   -0.4225 Ry per atom
Fermi-level density of states   3.22 states/eV per cell
Crystal system   tetragonal
Total magnetic moment   0.0 μB/cell

abc: 4.2953 4.2953 3.3094
angles: 90.00 90.00 90.00
Space group P4/mmm (No. 123)
Symmetry-distinct sites (fractional):
Ga 0.0000 0.5000 0.0000 (multiplicity 2)
Tc 0.0000 0.0000 0.5000 (multiplicity 1)
H 0.0000 0.0000 0.0000 (multiplicity 1)
Ir 0.5000 0.5000 0.5000 (multiplicity 1)

First-principles (PBE-GGA) data for an optimized crystal structure of LaMnCu2Ge, as listed in Alexandria via LeMat-Bulk.

E   -0.3862 Ry per atom
E_form   127 meV per atom
Fermi-level density of states   3.85 states/eV per cell
Crystal system   tetragonal
Total magnetic moment   3.0 μB/cell

abc: 4.5926 4.5926 4.7728
angles: 90.00 90.00 90.00
Space group P4/mmm (No. 123)
Symmetry-distinct sites (fractional):
La 0.0000 0.0000 0.0000 (multiplicity 1)
Mn 0.5000 0.5000 0.0000 (multiplicity 1)
Cu 0.0000 0.5000 0.5000 (multiplicity 2)
Ge 0.5000 0.5000 0.5000 (multiplicity 1)

First-principles (PBE-GGA) data for an optimized crystal structure of CaHfH2Se, as listed in Alexandria via LeMat-Bulk.

E   -0.3231 Ry per atom
Fermi-level density of states   1.62 states/eV per cell
Crystal system   tetragonal
Total magnetic moment   1.5 μB/cell

abc: 3.9078 3.9078 7.5897
angles: 90.00 90.00 90.00
Space group P4/mmm (No. 123)
Symmetry-distinct sites (fractional):
Ca 0.0000 0.0000 0.0000 (multiplicity 1)
Hf 0.0000 0.0000 0.5000 (multiplicity 1)
H 0.0000 0.5000 0.0000 (multiplicity 2)
Se 0.5000 0.5000 0.5000 (multiplicity 1)

First-principles (PBE-GGA) data for an optimized crystal structure of K2PdSe, as listed in Alexandria via LeMat-Bulk.

E   -0.2061 Ry per atom
Fermi-level density of states   3.70 states/eV per cell
Crystal system   tetragonal
Total magnetic moment   0.0 μB/cell

abc: 4.6790 4.6790 20.9852
angles: 90.00 90.00 90.00
Space group I-42d (No. 122)
Symmetry-distinct sites (fractional):
K 0.2429 0.2500 0.1250 (multiplicity 8)
Pd 0.0000 0.0000 0.0000 (multiplicity 4)
Se 0.0000 0.0000 0.5000 (multiplicity 4)

First-principles (PBE-GGA) data for an optimized crystal structure of PmDy2Sc, as listed in Alexandria via LeMat-Bulk.

E   -0.3695 Ry per atom
E_form   45 meV per atom
Fermi-level density of states   6.21 states/eV per cell
Crystal system   tetragonal
Distance to the lowest polymorph of the same formula   14.6 meV per atom
Total magnetic moment   0.0 μB/cell

abc: 3.5140 3.5140 9.8439
angles: 90.00 90.00 90.00
Space group P4/mmm (No. 123)
Symmetry-distinct sites (fractional):
Pm 0.0000 0.0000 0.0000 (multiplicity 1)
Dy 0.5000 0.5000 0.2645 (multiplicity 2)
Sc 0.0000 0.0000 0.5000 (multiplicity 1)

First-principles (PBE-GGA) data for an optimized crystal structure of Pr6Nd8Sc, as listed in Alexandria via LeMat-Bulk.

E   -0.3468 Ry per atom
E_form   158 meV per atom
Fermi-level density of states   65.83 states/eV per cell
Crystal system   trigonal
Distance to the lowest polymorph of the same formula   51.4 meV per atom
Total magnetic moment   0.0 μB/cell

abc: 10.0342 10.0342 18.0399
angles: 90.00 90.00 120.00
Space group R-3 (No. 148, hexagonal axes)
Symmetry-distinct sites (fractional):
Pr 0.0400 0.6220 0.3409 (multiplicity 18)
Nd 0.0000 0.0000 0.4128 (multiplicity 6)
Nd 0.0578 0.8190 0.1700 (multiplicity 18)
Sc 0.0000 0.0000 0.0000 (multiplicity 3)

First-principles (PBE-GGA) data for an optimized crystal structure of HfSN2F, as listed in Alexandria via LeMat-Bulk.

E   -0.4445 Ry per atom
Fermi-level density of states   3.77 states/eV per cell
Crystal system   tetragonal
Distance to the lowest polymorph of the same formula   595.3 meV per atom
Total magnetic moment   1.8 μB/cell

abc: 4.1939 4.1939 5.0717
angles: 90.00 90.00 90.00
Space group P4/mmm (No. 123)
Symmetry-distinct sites (fractional):
Hf 0.0000 0.0000 0.0000 (multiplicity 1)
S 0.0000 0.0000 0.5000 (multiplicity 1)
N 0.0000 0.5000 0.0000 (multiplicity 2)
F 0.5000 0.5000 0.5000 (multiplicity 1)

First-principles (PBE-GGA) data for an optimized crystal structure of TlPd8Pt2, as listed in Alexandria via LeMat-Bulk.

E   -0.3801 Ry per atom
E_form   -82 meV per atom
Fermi-level density of states   39.05 states/eV per cell
Crystal system   monoclinic
Distance to the lowest polymorph of the same formula   0.0 meV per atom
Total magnetic moment   0.0 μB/cell

abc: 14.4144 4.0102 6.2893
angles: 90.00 105.02 90.00
Space group C2/m (No. 12)
Symmetry-distinct sites (fractional):
Tl 0.0000 0.0000 0.0000 (multiplicity 2)
Pd 0.0473 0.5000 0.7237 (multiplicity 4)
Pd 0.0925 0.0000 0.4584 (multiplicity 4)
Pd 0.1384 0.5000 0.1864 (multiplicity 4)
Pd 0.1844 0.0000 0.9096 (multiplicity 4)
Pt 0.2266 0.5000 0.6338 (multiplicity 4)

First-principles (PBE-GGA) data for an optimized crystal structure of K2RbPtN, as listed in Alexandria via LeMat-Bulk.

E   -0.2478 Ry per atom
Fermi-level density of states   2.64 states/eV per cell
Crystal system   tetragonal
Total magnetic moment   0.0 μB/cell

abc: 6.3223 6.3223 3.8604
angles: 90.00 90.00 90.00
Space group P4/mmm (No. 123)
Symmetry-distinct sites (fractional):
K 0.0000 0.5000 0.0000 (multiplicity 2)
Rb 0.0000 0.0000 0.5000 (multiplicity 1)
Pt 0.5000 0.5000 0.5000 (multiplicity 1)
N 0.5000 0.5000 0.0000 (multiplicity 1)

First-principles (PBE-GGA) data for an optimized crystal structure of Sm6DyEr3, as listed in Alexandria via LeMat-Bulk.

E   -0.3331 Ry per atom
E_form   128 meV per atom
Fermi-level density of states   64.39 states/eV per cell
Crystal system   orthorhombic
Distance to the lowest polymorph of the same formula   0.0 meV per atom
Total magnetic moment   0.0 μB/cell

abc: 9.7392 21.1874 6.3915
angles: 90.00 90.00 90.00
Space group Cmc2_1 (No. 36)
Symmetry-distinct sites (fractional):
Sm 0.0000 0.0161 0.0000 (multiplicity 4)
Sm 0.0000 0.3009 0.0229 (multiplicity 4)
Sm 0.1750 0.2806 0.4924 (multiplicity 8)
Sm 0.1804 0.4402 0.2458 (multiplicity 8)
Dy 0.0000 0.1592 0.8030 (multiplicity 4)
Er 0.0000 0.4194 0.7248 (multiplicity 4)
Er 0.1681 0.1255 0.3268 (multiplicity 8)

First-principles (PBE-GGA) data for an optimized crystal structure of Pr2GdTh, as listed in Alexandria via LeMat-Bulk.

E   -0.5672 Ry per atom
E_form   48 meV per atom
Fermi-level density of states   6.76 states/eV per cell
Crystal system   tetragonal
Distance to the lowest polymorph of the same formula   0.0 meV per atom
Total magnetic moment   7.6 μB/cell

abc: 3.6367 3.6367 10.3734
angles: 90.00 90.00 90.00
Space group P4/mmm (No. 123)
Symmetry-distinct sites (fractional):
Pr 0.0000 0.0000 0.2410 (multiplicity 2)
Gd 0.5000 0.5000 0.5000 (multiplicity 1)
Th 0.5000 0.5000 0.0000 (multiplicity 1)

First-principles (PBE-GGA) data for an optimized crystal structure of TbPaBi, as listed in Alexandria via LeMat-Bulk.

E   -0.4577 Ry per atom
E_form   -225 meV per atom
Fermi-level density of states   21.69 states/eV per cell
Crystal system   monoclinic
Distance to the lowest polymorph of the same formula   0.0 meV per atom
Total magnetic moment   0.1 μB/cell

abc: 5.5635 5.6452 10.8855
angles: 90.00 93.34 90.00
Space group C2/m (No. 12)
Symmetry-distinct sites (fractional):
Tb 0.2383 0.0000 0.4026 (multiplicity 4)
Pa 0.2085 0.0000 0.0639 (multiplicity 4)
Bi 0.2220 0.5000 0.2393 (multiplicity 4)

First-principles (PBE-GGA) data for an optimized crystal structure of LiTlP2PbO, as listed in Alexandria via LeMat-Bulk.

E   -0.3319 Ry per atom
Fermi-level density of states   1.08 states/eV per cell
Crystal system   triclinic
Distance to the lowest polymorph of the same formula   151.7 meV per atom
Total magnetic moment   0.0 μB/cell

abc: 3.6502 6.4049 6.7937
angles: 69.01 84.57 77.64
Space group P1 (No. 1)
Symmetry-distinct sites (fractional):
Li 0.0000 0.0000 0.0000 (multiplicity 1)
Tl 0.8236 0.2326 0.4706 (multiplicity 1)
P 0.2454 0.6495 0.8940 (multiplicity 1)
P 0.3488 0.3133 0.1173 (multiplicity 1)
Pb 0.7831 0.6895 0.5829 (multiplicity 1)
O 0.4538 0.1139 0.0231 (multiplicity 1)

First-principles (PBE-GGA) data for an optimized crystal structure of CeEuAgHg, as listed in Alexandria via LeMat-Bulk.

E   -0.3661 Ry per atom
E_form   -141 meV per atom
Fermi-level density of states   32.65 states/eV per cell
Crystal system   cubic
Total magnetic moment   32.3 μB/cell

abc: 7.3255 7.3255 7.3255
angles: 90.00 90.00 90.00
Space group F-43m (No. 216)
Symmetry-distinct sites (fractional):
Ce 0.0000 0.0000 0.0000 (multiplicity 4)
Eu 0.2500 0.2500 0.7500 (multiplicity 4)
Ag 0.2500 0.2500 0.2500 (multiplicity 4)
Hg 0.0000 0.0000 0.5000 (multiplicity 4)

First-principles (PBE-GGA) data for an optimized crystal structure of HfTl2Hg2Br6, as listed in Alexandria via LeMat-Bulk.

E   -0.2392 Ry per atom
Fermi-level density of states   0.00 states/eV per cell
Crystal system   monoclinic
Total magnetic moment   0.0 μB/cell

abc: 7.8846 14.0921 9.5248
angles: 90.00 110.32 90.00
Space group C2/m (No. 12)
Symmetry-distinct sites (fractional):
Hf 0.0000 0.0000 0.0000 (multiplicity 2)
Tl 0.0000 0.3317 0.0000 (multiplicity 4)
Hg 0.0000 0.1998 0.5000 (multiplicity 4)
Br 0.2023 0.0000 0.8301 (multiplicity 4)
Br 0.2055 0.1314 0.1735 (multiplicity 8)

First-principles (PBE-GGA) data for an optimized crystal structure of FeRh2Br, as listed in Alexandria via LeMat-Bulk.

E   -0.4321 Ry per atom
Fermi-level density of states   4.45 states/eV per cell
Crystal system   monoclinic
Distance to the lowest polymorph of the same formula   33.7 meV per atom
Total magnetic moment   2.7 μB/cell

abc: 3.4497 2.9599 6.9459
angles: 90.00 90.02 90.00
Space group Pm (No. 6)
Symmetry-distinct sites (fractional):
Fe 0.0000 0.0000 0.0000 (multiplicity 1)
Rh 0.0004 0.0000 0.3749 (multiplicity 1)
Rh 0.5001 0.5000 0.1765 (multiplicity 1)
Br 0.9989 0.5000 0.7035 (multiplicity 1)

First-principles (PBE-GGA) data for an optimized crystal structure of InAsSe3, as listed in Alexandria via LeMat-Bulk.

E   -0.2808 Ry per atom
Fermi-level density of states   1.75 states/eV per cell
Crystal system   monoclinic
Distance to the lowest polymorph of the same formula   37.0 meV per atom
Total magnetic moment   0.0 μB/cell

abc: 16.9109 3.7395 12.0078
angles: 90.00 118.44 90.00
Space group C2/m (No. 12)
Symmetry-distinct sites (fractional):
In 0.1572 0.0000 0.3898 (multiplicity 4)
As 0.0666 0.5000 0.7733 (multiplicity 4)
Se 0.0693 0.5000 0.2010 (multiplicity 4)
Se 0.1491 0.0000 0.9202 (multiplicity 4)
Se 0.1723 0.5000 0.5650 (multiplicity 4)

First-principles (PBE-GGA) data for an optimized crystal structure of PmMgSnPd, as listed in Alexandria via LeMat-Bulk.

E   -0.3296 Ry per atom
E_form   -599 meV per atom
Fermi-level density of states   5.37 states/eV per cell
Crystal system   cubic
Total magnetic moment   0.0 μB/cell

abc: 7.1322 7.1322 7.1322
angles: 90.00 90.00 90.00
Space group F-43m (No. 216)
Symmetry-distinct sites (fractional):
Pm 0.0000 0.0000 0.0000 (multiplicity 4)
Mg 0.0000 0.0000 0.5000 (multiplicity 4)
Sn 0.2500 0.2500 0.7500 (multiplicity 4)
Pd 0.2500 0.2500 0.2500 (multiplicity 4)

First-principles (PBE-GGA) data for an optimized crystal structure of PmMg2Sn2, as listed in Alexandria via LeMat-Bulk.

E   -0.2629 Ry per atom
E_form   -388 meV per atom
Fermi-level density of states   3.36 states/eV per cell
Crystal system   monoclinic
Distance to the lowest polymorph of the same formula   0.0 meV per atom
Total magnetic moment   0.0 μB/cell

abc: 13.7133 4.4793 4.4802
angles: 90.00 108.24 90.00
Space group C2/m (No. 12)
Symmetry-distinct sites (fractional):
Pm 0.0000 0.0000 0.0000 (multiplicity 2)
Mg 0.2500 0.0000 0.7511 (multiplicity 4)
Sn 0.1088 0.5000 0.6128 (multiplicity 4)